The following is a DFT calculation (meta-GGA SCAN) of KSbPbSe2 at its PBEsol-relaxed geometry.

Results
Space group: No. 123
Uncorrected energy in eV per atom: -32.08
Formation energy (no corrections) in eV/atom: 0.22
Magnetization in μB/cell: 0.00
Crystal system: tetragonal

Cell lengths 5.429, 5.429, 5.867 Å; angles 90.00, 90.00, 90.00 degrees
Positions (direct):
K 0.000 0.000 0.000
Sb 0.000 0.000 0.500
Pb 0.500 0.500 0.000
Se 0.000 0.500 0.500
Se 0.500 0.000 0.500